P:
# PBE BaCrMo3, optimized geometry
# Magnetic moment (μB per cell): 0.0
data_BaCrMo3
_chemical_formula_sum 'Ba1 Cr1 Mo3'
_symmetry_space_group_name_H-M 'P m -3 m'
_symmetry_Int_Tables_number 221
_symmetry_space_group_name_Hall '-P 4 2 3'
_cell_length_a 4.736
_cell_length_b 4.736
_cell_length_c 4.736
_cell_angle_alpha 90.00
_cell_angle_beta 90.00
_cell_angle_gamma 90.00
loop_
_atom_site_label
_atom_site_fract_x
_atom_site_fract_y
_atom_site_fract_z
_atom_site_occupancy
Ba1 0.000 0.000 0.000 1
Cr1 0.500 0.500 0.500 1
Mo1 0.000 0.500 0.500 1

Q:
# PBE BaCrMo3, optimized geometry
# Magnetic moment (μB per cell): 0.3
data_BaCrMo3
_chemical_formula_sum 'Ba1 Cr1 Mo3'
_symmetry_space_group_name_H-M 'P m -3 m'
_symmetry_Int_Tables_number 221
_symmetry_space_group_name_Hall '-P 4 2 3'
_cell_length_a 4.893
_cell_length_b 4.893
_cell_length_c 4.893
_cell_angle_alpha 90.00
_cell_angle_beta 90.00
_cell_angle_gamma 90.00
loop_
_atom_site_label
_atom_site_fract_x
_atom_site_fract_y
_atom_site_fract_z
_atom_site_occupancy
Ba1 0.000 0.000 0.000 1
Cr1 0.500 0.500 0.500 1
Mo1 0.000 0.000 0.500 1

Most stable: P (next structure +2.245 eV/atom)

P:
# PBE BaCr3N, optimized geometry
# Magnetic moment (μB per cell): 13.6
data_BaCr3N
_chemical_formula_sum 'Ba1 Cr3 N1'
_symmetry_space_group_name_H-M 'P m -3 m'
_symmetry_Int_Tables_number 221
_symmetry_space_group_name_Hall '-P 4 2 3'
_cell_length_a 6.277
_cell_length_b 6.277
_cell_length_c 6.277
_cell_angle_alpha 90.00
_cell_angle_beta 90.00
_cell_angle_gamma 90.00
loop_
_atom_site_label
_atom_site_fract_x
_atom_site_fract_y
_atom_site_fract_z
_atom_site_occupancy
Ba1 0.000 0.000 0.000 1
Cr1 0.000 0.000 0.500 1
N1 0.500 0.500 0.500 1

Q:
# PBE BaCr3N, optimized geometry
# Magnetic moment (μB per cell): 6.8
data_BaCr3N
_chemical_formula_sum 'Ba1 Cr3 N1'
_symmetry_space_group_name_H-M 'P m -3 m'
_symmetry_Int_Tables_number 221
_symmetry_space_group_name_Hall '-P 4 2 3'
_cell_length_a 4.236
_cell_length_b 4.236
_cell_length_c 4.236
_cell_angle_alpha 90.00
_cell_angle_beta 90.00
_cell_angle_gamma 90.00
loop_
_atom_site_label
_atom_site_fract_x
_atom_site_fract_y
_atom_site_fract_z
_atom_site_occupancy
Ba1 0.000 0.000 0.000 1
Cr1 0.000 0.500 0.500 1
N1 0.500 0.500 0.500 1

Most stable: Q (next structure +2.353 eV/atom)

P:
# PBE BaCrS2N, optimized geometry
# Magnetic moment (μB per cell): 1.1
data_BaCrS2N
_chemical_formula_sum 'Ba1 Cr1 S2 N1'
_symmetry_space_group_name_H-M 'P 4/m m m'
_symmetry_Int_Tables_number 123
_symmetry_space_group_name_Hall '-P 4 2'
_cell_length_a 5.031
_cell_length_b 5.031
_cell_length_c 3.730
_cell_angle_alpha 90.00
_cell_angle_beta 90.00
_cell_angle_gamma 90.00
loop_
_atom_site_label
_atom_site_fract_x
_atom_site_fract_y
_atom_site_fract_z
_atom_site_occupancy
Ba1 0.000 0.000 0.000 1
Cr1 0.500 0.500 0.500 1
S1 0.000 0.500 0.500 1
N1 0.500 0.500 0.000 1

Q:
# PBE BaCrS2N, optimized geometry
# Magnetic moment (μB per cell): 4.1
data_BaCrS2N
_chemical_formula_sum 'Ba1 Cr1 S2 N1'
_symmetry_space_group_name_H-M 'P 4/m m m'
_symmetry_Int_Tables_number 123
_symmetry_space_group_name_Hall '-P 4 2'
_cell_length_a 5.744
_cell_length_b 5.744
_cell_length_c 4.595
_cell_angle_alpha 90.00
_cell_angle_beta 90.00
_cell_angle_gamma 90.00
loop_
_atom_site_label
_atom_site_fract_x
_atom_site_fract_y
_atom_site_fract_z
_atom_site_occupancy
Ba1 0.000 0.000 0.000 1
Cr1 0.500 0.500 0.500 1
S1 0.000 0.500 0.000 1
N1 0.000 0.000 0.500 1

Most stable: P (next structure +2.070 eV/atom)